1.
## Dy4Er3Pd4 (PBE)

Data for an optimized crystal structure of Dy4Er3Pd4.

Cell lengths 9.3306, 9.3306, 9.3306 Å; angles 156.44, 121.59, 63.86 degrees
Last column: nearest neighbours and their distance in Å.
Fractional positions:
Dy: 0.0243 0.8384 0.1859  4 Pd 2.87-3.19
Dy: 0.3475 0.1616 0.1859  4 Pd 2.87-3.19
Dy: 0.6525 0.8384 0.8141  4 Pd 2.87-3.19
Dy: 0.9757 0.1616 0.8141  4 Pd 2.87-3.19
Er: 0.0000 0.5000 0.5000  6 Pd 3.54-3.95, 8 Dy 3.61, 2 Er 3.81
Er: 0.3936 0.3936 0.0000  6 Pd 2.98-2.99
Er: 0.6064 0.6064 0.0000  6 Pd 2.98-2.99
Pd: 0.2492 0.7492 0.5000  6 Dy 2.90-3.19, 2 Er 2.98
Pd: 0.3281 0.0000 0.3281  2 Dy 2.87, 4 Er 2.99, 1 Pd 3.13
Pd: 0.6719 0.0000 0.6719  2 Dy 2.87, 4 Er 2.99, 1 Pd 3.13
Pd: 0.7508 0.2508 0.5000  6 Dy 2.90-3.19, 2 Er 2.98

Output
Energy of formation ... -595.7 meV/atom
Symmetry ... Immm, No. 71

***

2.
## DyErScPd (PBE)

Data for an optimized crystal structure of DyErScPd.

Cell lengths 7.2605, 7.2605, 7.2605 Å; angles 90.00, 90.00, 90.00 degrees
Last column: nearest neighbours and their distance in Å.
Fractional positions:
Dy: 0.0000 0.0000 0.0000  4 Sc 3.14, 4 Pd 3.14
Dy: 0.0000 0.5000 0.5000  4 Sc 3.14, 4 Pd 3.14
Dy: 0.5000 0.0000 0.5000  4 Sc 3.14, 4 Pd 3.14
Dy: 0.5000 0.5000 0.0000  4 Sc 3.14, 4 Pd 3.14
Er: 0.0000 0.0000 0.5000  4 Sc 3.14, 4 Pd 3.14
Er: 0.0000 0.5000 0.0000  4 Sc 3.14, 4 Pd 3.14
Er: 0.5000 0.0000 0.0000  4 Sc 3.14, 4 Pd 3.14
Er: 0.5000 0.5000 0.5000  4 Sc 3.14, 4 Pd 3.14
Sc: 0.2500 0.2500 0.7500  4 Dy 3.14, 4 Er 3.14
Sc: 0.2500 0.7500 0.2500  4 Dy 3.14, 4 Er 3.14
Sc: 0.7500 0.2500 0.2500  4 Dy 3.14, 4 Er 3.14
Sc: 0.7500 0.7500 0.7500  4 Dy 3.14, 4 Er 3.14
Pd: 0.2500 0.2500 0.2500  4 Dy 3.14, 4 Er 3.14
Pd: 0.2500 0.7500 0.7500  4 Dy 3.14, 4 Er 3.14
Pd: 0.7500 0.2500 0.7500  4 Dy 3.14, 4 Er 3.14
Pd: 0.7500 0.7500 0.2500  4 Dy 3.14, 4 Er 3.14

Output
Energy of formation ... -197.8 meV/atom
Symmetry ... F-43m, No. 216

***

3.
## DyErSiPd (PBE)

Data for an optimized crystal structure of DyErSiPd.

Cell lengths 4.2141, 3.9263, 10.7336 Å; angles 90.00, 90.00, 90.00 degrees
Last column: nearest neighbours and their distance in Å.
Fractional positions:
Dy: 0.0000 0.0000 0.0000  4 Pd 2.97, 3 Si 3.00-3.08
Dy: 0.0000 0.5000 0.5000  4 Pd 2.97, 3 Si 3.00-3.08
Er: 0.5000 0.0000 0.2812  4 Si 2.95, 3 Pd 3.02-3.07
Er: 0.5000 0.5000 0.7812  4 Si 2.95, 3 Pd 3.02-3.07
Si: 0.0000 0.0000 0.7209  2 Pd 2.68, 4 Er 2.95, 1 Dy 3.00
Si: 0.0000 0.5000 0.2209  2 Pd 2.68, 4 Er 2.95, 1 Dy 3.00
Pd: 0.5000 0.0000 0.5673  2 Si 2.68, 4 Dy 2.97
Pd: 0.5000 0.5000 0.0673  2 Si 2.68, 4 Dy 2.97

Output
E_form (uncorrected) ... -0.847 eV per atom
Symmetry ... Amm2, No. 38
Distance to the lowest polymorph of the same formula ... 0.00 eV per formula unit